A plane-wave DFT calculation with GGA-PBE was carried out for a relaxed structure of ScCoGeIr.

Unit cell a=6.1563 b=6.1563 c=6.1563 alpha=90.00 beta=90.00 gamma=90.00
Element x y z (fractional)
Sc  0.0000  0.0000  0.0000
Sc  0.0000  0.5000  0.5000
Sc  0.5000  0.0000  0.5000
Sc  0.5000  0.5000  0.0000
Co  0.2500  0.2500  0.2500
Co  0.2500  0.7500  0.7500
Co  0.7500  0.2500  0.7500
Co  0.7500  0.7500  0.2500
Ge  0.0000  0.0000  0.5000
Ge  0.0000  0.5000  0.0000
Ge  0.5000  0.0000  0.0000
Ge  0.5000  0.5000  0.5000
Ir  0.2500  0.2500  0.7500
Ir  0.2500  0.7500  0.2500
Ir  0.7500  0.2500  0.2500
Ir  0.7500  0.7500  0.7500

Output
energy	-116.41	eV for the cell shown
mass density	10.50	Mg/m³
calculated volume	58	Å³/f.u.
SG	F-43m, No. 216